1.
First-principles (PBE-GGA) data for an optimized crystal structure of KHfAgTe2Se, as listed in OQMD via LeMat-Bulk.

Cell lengths 8.7479, 4.1621, 10.5705 Å; angles 90.00, 110.40, 90.00 degrees
Space group P2_1/m (No. 11)
Asymmetric unit:
K (0.2380, 0.2500, 0.1900) [2 per cell]
Hf (0.1978, 0.7500, 0.6762) [2 per cell]
Ag (0.4236, 0.2500, 0.8989) [2 per cell]
Te (0.0533, 0.7500, 0.3694) [2 per cell]
Te (0.4092, 0.2500, 0.6336) [2 per cell]
Se (0.2405, 0.7500, 0.9339) [2 per cell]

## Properties
- energy above the lowest structure with this stoichiometry (eV/f.u.) = 0.30

---

2.
First-principles (PBE-GGA) data for an optimized crystal structure of KHfAgTeSe2, as listed in OQMD via LeMat-Bulk.

Cell lengths 8.5161, 4.0119, 10.4224 Å; angles 90.00, 110.39, 90.00 degrees
Space group P2_1/m (No. 11)
Asymmetric unit:
K (0.2353, 0.2500, 0.2610) [2 per cell]
Hf (0.3172, 0.7500, 0.8442) [2 per cell]
Ag (0.0730, 0.2500, 0.6041) [2 per cell]
Te (0.2855, 0.7500, 0.5613) [2 per cell]
Se (0.1126, 0.2500, 0.8660) [2 per cell]
Se (0.4513, 0.7500, 0.1239) [2 per cell]

## Properties
- energy above the lowest structure with this stoichiometry (eV/f.u.) = 0.00

---

3.
First-principles (PBE-GGA) data for an optimized crystal structure of KHfAgTe2Se, as listed in OQMD via LeMat-Bulk.

Cell lengths 8.7127, 4.1201, 10.5413 Å; angles 90.00, 110.87, 90.00 degrees
Space group P2_1/m (No. 11)
Asymmetric unit:
K (0.2372, 0.2500, 0.2217) [2 per cell]
Hf (0.1786, 0.7500, 0.6540) [2 per cell]
Ag (0.4264, 0.2500, 0.8948) [2 per cell]
Te (0.2225, 0.7500, 0.9359) [2 per cell]
Te (0.4049, 0.2500, 0.6266) [2 per cell]
Se (0.0380, 0.7500, 0.3753) [2 per cell]

## Properties
- energy above the lowest structure with this stoichiometry (eV/f.u.) = 0.00

---

4.
First-principles (PBE-GGA) data for an optimized crystal structure of KHfAgTe2Se, as listed in OQMD via LeMat-Bulk.

Cell lengths 8.6186, 4.1137, 10.9925 Å; angles 90.00, 111.02, 90.00 degrees
Space group P2_1/m (No. 11)
Asymmetric unit:
K (0.2359, 0.2500, 0.2833) [2 per cell]
Hf (0.3028, 0.7500, 0.8298) [2 per cell]
Ag (0.0742, 0.2500, 0.5991) [2 per cell]
Te (0.2828, 0.7500, 0.5648) [2 per cell]
Te (0.4326, 0.7500, 0.1200) [2 per cell]
Se (0.1083, 0.2500, 0.8479) [2 per cell]

## Properties
- energy above the lowest structure with this stoichiometry (eV/f.u.) = 0.17